Entry 1
DFT (PBE-GGA) results for a relaxed structure of LiBe2Tl.

The calculation puts the mass density at 4.96 g cm⁻³. The calculation puts the magnetic moment at 0.00 μB per cell.

It has space group I4_1/amd (No. 141, origin choice 2), with a = 4.2083 Å, b = 4.2083 Å, c = 17.3334 Å, α = 90.00°, β = 90.00° and γ = 90.00°. Symmetry generates all atoms from Li at (0.0000, 0.2500, 0.3750), Be at (0.0000, 0.0000, 0.0000) and Tl at (0.0000, 0.2500, 0.8750).



Entry 2
DFT (PBE-GGA) results for a relaxed structure of LiBe2Tl.

The calculation puts the mass density at 6.50 g cm⁻³. The calculation puts the magnetic moment at 0.00 μB per cell.

It has space group Cm (No. 8), with a = 6.9730 Å, b = 4.0456 Å, c = 4.7866 Å, α = 90.00°, β = 119.77° and γ = 90.00°. Symmetry generates all atoms from Li at (0.0000, 0.0000, 0.0000), Be at (0.2747, 0.5000, 0.3237), Be at (0.4293, 0.0000, 0.2852) and Tl at (0.2150, 0.0000, 0.6395).



Entry 3
DFT (PBE-GGA) results for a relaxed structure of LiBe2Tl.

The calculation puts the mass density at 5.77 g cm⁻³. The calculation puts the magnetic moment at 0.00 μB per cell.

It has space group R3m (No. 160, hexagonal axes), with a = 3.0229 Å, b = 3.0229 Å, c = 25.0252 Å, α = 90.00°, β = 90.00° and γ = 120.00°. Symmetry generates all atoms from Li at (0.0000, 0.0000, 0.0000), Be at (0.0000, 0.0000, 0.4751), Be at (0.0000, 0.0000, 0.7486) and Tl at (0.0000, 0.0000, 0.2334).



Entry 4
DFT (PBE-GGA) results for a relaxed structure of LiBe2Tl.

The calculation puts the mass density at 6.86 g cm⁻³. The calculation puts the magnetic moment at 0.00 μB per cell.

It has space group P4/mmm (No. 123), with a = 3.7969 Å, b = 3.7969 Å, c = 3.8536 Å, α = 90.00°, β = 90.00° and γ = 90.00°. Symmetry generates all atoms from Li at (0.0000, 0.0000, 0.0000), Be at (0.0000, 0.5000, 0.5000) and Tl at (0.5000, 0.5000, 0.0000).



Tell me which of them is the least stable. Sure, it is entry 3.



Entry 1
DFT (PBE-GGA) results for a relaxed structure of LiBe2Tl.

The calculation puts the mass density at 6.26 g cm⁻³. The calculation puts the magnetic moment at 0.00 μB per cell.

It has space group Pm (No. 6), with a = 3.3448 Å, b = 3.9207 Å, c = 4.9263 Å, α = 90.00°, β = 109.69° and γ = 90.00°. Symmetry generates all atoms from Li at (0.0000, 0.0000, 0.0000), Be at (0.2987, 0.0000, 0.5918), Be at (0.4023, 0.5000, 0.8038) and Tl at (0.6785, 0.5000, 0.3617).



Entry 2
DFT (PBE-GGA) results for a relaxed structure of LiBe2Tl.

The calculation puts the mass density at 6.61 g cm⁻³. The calculation puts the magnetic moment at 0.00 μB per cell.

It has space group C2/m (No. 12), with a = 8.5250 Å, b = 3.2789 Å, c = 4.2753 Å, α = 90.00°, β = 105.27° and γ = 90.00°. Symmetry generates all atoms from Li at (0.0000, 0.0000, 0.0000), Be at (0.2391, 0.5000, 0.1976) and Tl at (0.0000, 0.5000, 0.5000).



Entry 3
DFT (PBE-GGA) results for a relaxed structure of LiBe2Tl.

The calculation puts the mass density at 6.28 g cm⁻³. The calculation puts the magnetic moment at 0.00 μB per cell.

It has space group P4mm (No. 99), with a = 3.0105 Å, b = 3.0105 Å, c = 6.6947 Å, α = 90.00°, β = 90.00° and γ = 90.00°. Symmetry generates all atoms from Li at (0.0000, 0.0000, 0.0000), Be at (0.0000, 0.0000, 0.6392), Be at (0.5000, 0.5000, 0.7399) and Tl at (0.5000, 0.5000, 0.3201).



Tell me which of them is the least stable. Sure, it is entry 2.



Entry 1
DFT (PBE-GGA) results for a relaxed structure of LiBeTl3.

The calculation puts the mass density at 7.76 g cm⁻³. The calculation puts the magnetic moment at 0.00 μB per cell.

It has space group Pm-3m (No. 221), with a = 5.1261 Å, b = 5.1261 Å, c = 5.1261 Å, α = 90.00°, β = 90.00° and γ = 90.00°. Symmetry generates all atoms from Li at (0.0000, 0.0000, 0.0000), Be at (0.5000, 0.5000, 0.5000) and Tl at (0.0000, 0.0000, 0.5000).



Entry 2
DFT (PBE-GGA) results for a relaxed structure of LiBeTl3.

The calculation puts the mass density at 8.05 g cm⁻³. The calculation puts the magnetic moment at 0.00 μB per cell.

It has space group Pm-3m (No. 221), with a = 5.0627 Å, b = 5.0627 Å, c = 5.0627 Å, α = 90.00°, β = 90.00° and γ = 90.00°. Symmetry generates all atoms from Li at (0.0000, 0.0000, 0.0000), Be at (0.5000, 0.5000, 0.5000) and Tl at (0.0000, 0.5000, 0.5000).



Tell me which of them is the least stable. Sure, it is entry 1.



Entry 1
DFT (PBE-GGA) results for a relaxed structure of Li3BeTl.

The calculation puts the mass density at 4.00 g cm⁻³. The calculation puts the magnetic moment at 0.00 μB per cell.

It has space group Pm-3m (No. 221), with a = 4.5985 Å, b = 4.5985 Å, c = 4.5985 Å, α = 90.00°, β = 90.00° and γ = 90.00°. Symmetry generates all atoms from Li at (0.0000, 0.0000, 0.5000), Be at (0.0000, 0.0000, 0.0000) and Tl at (0.5000, 0.5000, 0.5000).



Entry 2
DFT (PBE-GGA) results for a relaxed structure of Li3BeTl.

The calculation puts the mass density at 3.05 g cm⁻³. The calculation puts the magnetic moment at 0.00 μB per cell.

It has space group Pm-3m (No. 221), with a = 5.0335 Å, b = 5.0335 Å, c = 5.0335 Å, α = 90.00°, β = 90.00° and γ = 90.00°. Symmetry generates all atoms from Li at (0.0000, 0.0000, 0.5000), Be at (0.5000, 0.5000, 0.5000) and Tl at (0.0000, 0.0000, 0.0000).



Tell me which of them is the least stable. Sure, it is entry 2.



Entry 1
DFT (PBE-GGA) results for a relaxed structure of LiBeTl.

The calculation puts the mass density at 6.96 g cm⁻³. The calculation puts the magnetic moment at 0.00 μB per cell.

It has space group P3m1 (No. 156), with a = 4.3674 Å, b = 4.3674 Å, c = 3.1832 Å, α = 90.00°, β = 90.00° and γ = 120.00°. Symmetry generates all atoms from Li at (0.0000, 0.0000, 0.0000), Be at (0.3333, 0.6667, 0.4974) and Tl at (0.6667, 0.3333, 0.4992).



Entry 2
DFT (PBE-GGA) results for a relaxed structure of LiBeTl.

The calculation puts the mass density at 6.37 g cm⁻³. The calculation puts the magnetic moment at 0.00 μB per cell.

It has space group F-43m (No. 216), with a = 6.1235 Å, b = 6.1235 Å, c = 6.1235 Å, α = 90.00°, β = 90.00° and γ = 90.00°. Symmetry generates all atoms from Li at (0.0000, 0.0000, 0.0000), Be at (0.0000, 0.0000, 0.5000) and Tl at (0.2500, 0.2500, 0.2500).



Tell me which of them is the least stable. Sure, it is entry 2.



Entry 1
DFT (PBE-GGA) results for a relaxed structure of LiBeTl.

The calculation puts the mass density at 6.74 g cm⁻³. The calculation puts the magnetic moment at 0.00 μB per cell.

It has space group F-43m (No. 216), with a = 6.0099 Å, b = 6.0099 Å, c = 6.0099 Å, α = 90.00°, β = 90.00° and γ = 90.00°. Symmetry generates all atoms from Li at (0.0000, 0.0000, 0.0000), Be at (0.2500, 0.2500, 0.7500) and Tl at (0.0000, 0.0000, 0.5000).



Entry 2
DFT (PBE-GGA) results for a relaxed structure of LiBeTl.

The calculation puts the mass density at 7.37 g cm⁻³. The calculation puts the magnetic moment at 0.00 μB per cell.

It has space group Fmm2 (No. 42), with a = 4.6066 Å, b = 5.2126 Å, c = 8.2732 Å, α = 90.00°, β = 90.00° and γ = 90.00°. Symmetry generates all atoms from Li at (0.0000, 0.0000, 0.0000), Be at (0.0000, 0.0000, 0.6538) and Tl at (0.0000, 0.0000, 0.3250).



Tell me which of them is the least stable. Sure, it is entry 1.



Entry 1
DFT (PBE-GGA) results for a relaxed structure of LiBeW.

The calculation puts the mass density at 7.82 g cm⁻³. The calculation puts the magnetic moment at 0.00 μB per cell.

It has space group P3m1 (No. 156), with a = 2.6928 Å, b = 2.6928 Å, c = 6.7523 Å, α = 90.00°, β = 90.00° and γ = 120.00°. Symmetry generates all atoms from Li at (0.0000, 0.0000, 0.0000), Be at (0.3333, 0.6667, 0.6710) and W at (0.6667, 0.3333, 0.3671).



Entry 2
DFT (PBE-GGA) results for a relaxed structure of LiBeW.

The calculation puts the mass density at 9.24 g cm⁻³. The calculation puts the magnetic moment at 0.00 μB per cell.

It has space group P-6m2 (No. 187), with a = 3.9266 Å, b = 3.9266 Å, c = 2.6897 Å, α = 90.00°, β = 90.00° and γ = 120.00°. Symmetry generates all atoms from Li at (0.0000, 0.0000, 0.0000), Be at (0.6667, 0.3333, 0.0000) and W at (0.3333, 0.6667, 0.5000).



Entry 3
DFT (PBE-GGA) results for a relaxed structure of LiBeW.

The calculation puts the mass density at 8.86 g cm⁻³. The calculation puts the magnetic moment at 0.00 μB per cell.

It has space group Fmm2 (No. 42), with a = 3.7903 Å, b = 3.8123 Å, c = 10.3710 Å, α = 90.00°, β = 90.00° and γ = 90.00°. Symmetry generates all atoms from Li at (0.0000, 0.0000, 0.0000), Be at (0.0000, 0.0000, 0.6424) and W at (0.0000, 0.0000, 0.3016).



Tell me which of them is the least stable. Sure, it is entry 2.



Entry 1
DFT (PBE-GGA) results for a relaxed structure of Li2BeZn.

The calculation puts the mass density at 2.82 g cm⁻³. The calculation puts the magnetic moment at 0.00 μB per cell.

It has space group I4/mmm (No. 139), with a = 3.5541 Å, b = 3.5541 Å, c = 8.2242 Å, α = 90.00°, β = 90.00° and γ = 90.00°. Symmetry generates all atoms from Li at (0.0000, 0.5000, 0.2500), Be at (0.0000, 0.0000, 0.0000) and Zn at (0.0000, 0.0000, 0.5000).



Entry 2
DFT (PBE-GGA) results for a relaxed structure of Li2BeZn.

The calculation puts the mass density at 2.64 g cm⁻³. The calculation puts the magnetic moment at 0.00 μB per cell.

It has space group P4mm (No. 99), with a = 2.8514 Å, b = 2.8514 Å, c = 6.8323 Å, α = 90.00°, β = 90.00° and γ = 90.00°. Symmetry generates all atoms from Li at (0.0000, 0.0000, 0.0000), Li at (0.5000, 0.5000, 0.3183), Be at (0.5000, 0.5000, 0.7657) and Zn at (0.0000, 0.0000, 0.5823).



Tell me which of them is the least stable. Sure, it is entry 1.